## NaRhSCl2 (PBE)

Data for an optimized crystal structure of NaRhSCl2.

## Properties
- formation energy (no corrections) (eV per formula unit) = 2.83
- relative energy among the computed polymorphs (eV/f.u.) = 5.87

a = 4.919 Å, b = 4.919 Å, c = 5.148 Å
α = 90.00°, β = 90.00°, γ = 90.00°
Space group P4/mmm (No. 123)
Inequivalent atoms, fractional coordinates:
1 Na 0.000 0.000 0.000 x1
2 Rh 0.500 0.500 0.500 x1
3 S 0.000 0.000 0.500 x1
4 Cl 0.000 0.500 0.000 x2


## Na2SrHg2Au2 (PBE)

Data for an optimized crystal structure of Na2SrHg2Au2.

## Properties
- energy of formation (eV per atom) = -0.3880

a = 4.9645 Å, b = 4.9645 Å, c = 26.0263 Å
α = 90.00°, β = 90.00°, γ = 120.00°
Space group R-3m (No. 166, hexagonal axes)
Inequivalent atoms, fractional coordinates:
1 Na 0.0000 0.0000 0.1332 x6
2 Sr 0.0000 0.0000 0.0000 x3
3 Hg 0.0000 0.0000 0.2579 x6
4 Au 0.0000 0.0000 0.4037 x6


## RbCaP2Pd (PBE)

Data for an optimized crystal structure of RbCaP2Pd.

## Properties
- energy of formation (eV per atom) = 0.1412

a = 4.917 Å, b = 4.917 Å, c = 5.310 Å
α = 90.00°, β = 90.00°, γ = 90.00°
Space group P4/mmm (No. 123)
Inequivalent atoms, fractional coordinates:
1 Rb 0.000 0.000 0.000 x1
2 Ca 0.500 0.500 0.000 x1
3 P 0.000 0.500 0.500 x2
4 Pd 0.000 0.000 0.500 x1


## AsPRhAu2 (PBE)

Data for an optimized crystal structure of AsPRhAu2.

## Properties
- energy of formation (eV per atom) = -0.0973
- relative energy among the computed polymorphs (eV/f.u.) = 0.15

a = 2.886 Å, b = 2.931 Å, c = 10.519 Å
α = 90.00°, β = 97.58°, γ = 90.00°
Space group Pm (No. 6)
Inequivalent atoms, fractional coordinates:
1 As 0.000 0.000 0.000 x1
2 P 0.889 0.000 0.766 x1
3 Rh 0.337 0.500 0.658 x1
4 Au 0.130 0.500 0.244 x1
5 Au 0.731 0.000 0.448 x1


## ZnTeSe2 (PBE)

Data for an optimized crystal structure of ZnTeSe2.

## Properties
- formation energy (no corrections) (eV per formula unit) = 1.56
- relative energy among the computed polymorphs (eV/f.u.) = 2.06

a = 7.047 Å, b = 7.047 Å, c = 7.047 Å
α = 90.00°, β = 90.00°, γ = 90.00°
Space group F-43m (No. 216)
Inequivalent atoms, fractional coordinates:
1 Zn 0.000 0.000 0.000 x4
2 Te 0.250 0.250 0.750 x4
3 Se 0.000 0.000 0.500 x4
4 Se 0.250 0.250 0.250 x4


## BaCd2Hg (PBE)

Data for an optimized crystal structure of BaCd2Hg.

## Properties
- energy of formation (eV per atom) = -0.3434

a = 5.194 Å, b = 11.380 Å, c = 8.030 Å
α = 90.00°, β = 90.00°, γ = 90.00°
Space group Cmcm (No. 63)
Inequivalent atoms, fractional coordinates:
1 Ba 0.000 0.081 0.250 x4
2 Cd 0.000 0.372 0.063 x8
3 Hg 0.000 0.220 0.750 x4


no.,N(E_F) (states/eV per cell)
1,5.78
2,11.71
3,3.09
4,1.60
5,15.19
6,8.16